Entry from Alexandria via LeMat-Bulk: a relaxed Ba2LiMgCu crystal (GGA-PBE).

Properties
calculated volume = 199 Å³ per cell
E = -2.24 eV/atom
M_tot = 0.0 μB/cell
excess energy over the best structure of this formula in the dataset = 0 meV per atom

a b c (Å): 6.240 6.240 5.117
angles (deg): 90.00 90.00 90.00
Positions (direct):
Mg: 0.000 0.000 0.500
Cu: 0.000 0.000 0.000
Ba: 0.500 0.000 0.000
Ba: 0.000 0.500 0.000
Li: 0.500 0.500 0.500

=====

Entry from Alexandria via LeMat-Bulk: a relaxed Ba2LiCuN crystal (GGA-PBE).

Properties
calculated volume = 130 Å³ per cell
E = -3.71 eV/atom
M_tot = 0.0 μB/cell
excess energy over the best structure of this formula in the dataset = 53 meV per atom
formation energy (no corrections) = -0.08 eV per atom

a b c (Å): 5.868 5.868 3.788
angles (deg): 90.00 90.00 90.00
Positions (direct):
Li: 0.500 0.500 0.500
Ba: 0.500 0.000 0.000
Ba: 0.000 0.500 0.000
N: 0.000 0.000 0.000
Cu: 0.000 0.000 0.500

=====

Entry from Alexandria via LeMat-Bulk: a relaxed Ba2LiCuN crystal (GGA-PBE).

Properties
calculated volume = 130 Å³ per cell
E = -3.77 eV/atom
M_tot = 0.0 μB/cell
excess energy over the best structure of this formula in the dataset = 0 meV per atom
formation energy (no corrections) = -0.13 eV per atom

a b c (Å): 5.654 5.654 4.059
angles (deg): 90.00 90.00 90.00
Positions (direct):
Ba: 0.000 0.500 0.000
Ba: 0.500 0.000 0.000
Cu: 0.500 0.500 0.500
N: 0.000 0.000 0.000
Li: 0.000 0.000 0.500

=====

Entry from Alexandria via LeMat-Bulk: a relaxed Ba2LiCuNi crystal (GGA-PBE).

Properties
calculated volume = 166 Å³ per cell
E = -2.98 eV/atom
M_tot = 0.0 μB/cell

a b c (Å): 5.974 5.974 4.654
angles (deg): 90.00 90.00 90.00
Positions (direct):
Ni: 0.000 0.000 0.000
Ba: 0.500 0.000 0.000
Ba: 0.000 0.500 0.000
Li: 0.500 0.500 0.500
Cu: 0.000 0.000 0.500

=====

Entry from Alexandria via LeMat-Bulk: a relaxed BaLiCuO2 crystal (GGA-PBE).

Properties
calculated volume = 154 Å³ per cell
E = -5.23 eV/atom
M_tot = 0.0 μB/cell
formation energy (no corrections) = -1.66 eV per atom

a b c (Å): 4.391 5.847 6.123
angles (deg): 101.18 90.00 90.00
Positions (direct):
Ba: 0.758 0.500 0.250
Ba: 0.242 0.500 0.750
O: 0.704 0.773 0.943
O: 0.296 0.773 0.443
O: 0.704 0.227 0.557
O: 0.296 0.227 0.057
Li: 0.474 0.000 0.250
Li: 0.526 0.000 0.750
Cu: 0.000 0.000 0.500
Cu: 0.000 0.000 0.000

=====

Entry from Alexandria via LeMat-Bulk: a relaxed Ba2LiCuO crystal (GGA-PBE).

Properties
calculated volume = 124 Å³ per cell
E = -3.88 eV/atom
M_tot = 0.0 μB/cell
formation energy (no corrections) = -0.91 eV per atom

a b c (Å): 5.562 5.562 4.011
angles (deg): 90.00 90.00 90.00
Positions (direct):
O: 0.000 0.000 0.000
Ba: 0.500 0.000 0.000
Ba: 0.000 0.500 0.000
Li: 0.000 0.000 0.500
Cu: 0.500 0.500 0.500

=====

Entry from Alexandria via LeMat-Bulk: a relaxed Ba3Li2CuO6 crystal (GGA-PBE).

Properties
calculated volume = 198 Å³ per cell
E = -5.31 eV/atom
M_tot = 1.0 μB/cell
formation energy (no corrections) = -1.69 eV per atom

a b c (Å): 5.853 5.853 6.672
angles (deg): 90.00 90.00 120.00
Site moments in Bohr magnetons follow the coordinates.
Positions (direct):
O: 0.677 0.839 0.319  0.07
O: 0.161 0.839 0.319  0.07
O: 0.839 0.677 0.681  0.07
O: 0.161 0.323 0.319  0.07
O: 0.323 0.161 0.681  0.07
O: 0.839 0.161 0.681  0.07
Ba: 0.333 0.667 0.640  0.00
Ba: 0.667 0.333 0.360  0.00
Ba: 0.000 0.000 0.000  0.00
Cu: 0.000 0.000 0.500  0.44
Li: 0.333 0.667 0.230  0.03
Li: 0.667 0.333 0.770  0.03

=====

Entry from Alexandria via LeMat-Bulk: a relaxed Ba2Li2CuO4 crystal (GGA-PBE).

Properties
calculated volume = 128 Å³ per cell
E = -5.24 eV/atom
M_tot = 1.0 μB/cell
formation energy (no corrections) = -1.73 eV per atom

a b c (Å): 3.292 5.778 7.130
angles (deg): 103.13 103.35 90.00
Site moments in Bohr magnetons follow the coordinates.
Positions (direct):
Li: 0.682 0.036 0.364  0.00
Li: 0.318 0.964 0.636  0.00
O: 0.234 0.222 0.467  0.01
O: 0.469 0.193 0.938  0.21
O: 0.766 0.778 0.533  0.01
O: 0.531 0.807 0.062  0.21
Ba: 0.870 0.450 0.739  0.01
Ba: 0.130 0.550 0.261  0.01
Cu: 0.000 0.000 0.000  0.47